(1)
PBE CsKH2, optimized geometry; energy relative to the lowest polymorph listed for this composition = 4 meV/atom; D(E_F) = 0.00 states/eV/cell; space group = Pnma; total magnetic moment = 0.0 μB/cell
1.0
6.092 0.000 0.000
0.000 6.088 0.000
0.000 0.000 11.912
Cs K H
4 4 8
direct
0.001 0.250 0.125
0.499 0.750 0.625
0.501 0.250 0.375
0.999 0.750 0.875
0.000 0.250 0.625
0.000 0.750 0.375
0.500 0.250 0.875
0.500 0.750 0.125
0.001 0.250 0.393
0.002 0.250 0.857
0.498 0.750 0.357
0.499 0.750 0.893
0.501 0.250 0.107
0.502 0.250 0.643
0.998 0.750 0.143
0.999 0.750 0.607


(2)
PBE Nb3S4O2, optimized geometry; D(E_F) = 7.69 states/eV/cell; space group = P3m1; total magnetic moment = 0.5 μB/cell; raw formation energy = -1305 meV/atom
1.0
3.210 0.000 0.000
-1.605 2.780 0.000
0.000 0.000 19.387
Nb S O
3 4 2
direct
0.000 0.000 0.000
0.000 0.000 0.335
0.667 0.333 0.689
0.000 0.000 0.605
0.000 0.000 0.772
0.667 0.333 0.252
0.667 0.333 0.419
0.667 0.333 0.060
0.667 0.333 0.940


(3)
PBE NaCePt2, optimized geometry; D(E_F) = 4.26 states/eV/cell; space group = R-3m; total magnetic moment = 0.1 μB/cell; formation energy = -564.3 meV/atom
1.0
1.948 1.125 7.440
-1.948 1.125 7.440
0.000 -2.250 7.440
Na Ce Pt
1 1 2
direct
0.000 0.000 0.000
0.500 0.500 0.500
0.242 0.242 0.242
0.758 0.758 0.758


(4)
PBE LaFe2Os, optimized geometry; energy relative to the lowest polymorph listed for this composition = 235 meV/atom; D(E_F) = 4.95 states/eV/cell; space group = P4mm; total magnetic moment = 4.5 μB/cell; formation energy = 320.9 meV/atom
1.0
3.071 0.000 0.000
0.000 3.071 0.000
0.000 0.000 7.207
La Fe Os
1 2 1
direct
0.000 0.000 0.000
0.000 0.000 0.509
0.500 0.500 0.681
0.500 0.500 0.328